1.
Density functional theory data (PBE-GGA) for crystalline Li2PrWN4 at its relaxed geometry.

Properties
Its formation energy from raw total energies is -0.71 eV per atom.

Cell and atoms, written as CIF:
```
data_Li2PrWN4
_symmetry_space_group_name_H-M 'P 1'
_symmetry_Int_Tables_number 1
_symmetry_space_group_name_Hall 'P 1'
_cell_length_a 5.461
_cell_length_b 5.461
_cell_length_c 6.887
_cell_angle_alpha 90.00
_cell_angle_beta 90.00
_cell_angle_gamma 90.00
loop_
_atom_site_label
_atom_site_fract_x
_atom_site_fract_y
_atom_site_fract_z
Li1 0.000 0.500 0.250
Li2 0.000 0.500 0.750
Li3 0.500 0.000 0.250
Li4 0.500 0.000 0.750
Pr1 0.000 0.000 0.000
Pr2 0.500 0.500 0.500
W1 0.000 0.000 0.500
W2 0.500 0.500 0.000
N1 0.201 0.201 0.655
N2 0.201 0.799 0.345
N3 0.299 0.299 0.155
N4 0.299 0.701 0.845
N5 0.701 0.299 0.845
N6 0.701 0.701 0.155
N7 0.799 0.201 0.345
N8 0.799 0.799 0.655
```

---

2.
Density functional theory data (PBE-GGA) for crystalline CaPm2Mg3 at its relaxed geometry.

Properties
As for the formation energy: -96.1 meV/atom.

Cell and atoms, written as CIF:
```
data_CaPm2Mg3
_symmetry_space_group_name_H-M 'P 1'
_symmetry_Int_Tables_number 1
_symmetry_space_group_name_Hall 'P 1'
_cell_length_a 3.901
_cell_length_b 3.901
_cell_length_c 11.697
_cell_angle_alpha 90.00
_cell_angle_beta 90.00
_cell_angle_gamma 90.00
loop_
_atom_site_label
_atom_site_fract_x
_atom_site_fract_y
_atom_site_fract_z
Ca1 0.000 0.000 0.000
Pm1 0.000 0.000 0.339
Pm2 0.000 0.000 0.661
Mg1 0.500 0.500 0.173
Mg2 0.500 0.500 0.500
Mg3 0.500 0.500 0.827
```

---

3.
Density functional theory data (PBE-GGA) for crystalline YNbCo2 at its relaxed geometry.

Properties
As for the formation energy: -97.0 meV/atom.

Cell and atoms, written as CIF:
```
data_YNbCo2
_symmetry_space_group_name_H-M 'P 1'
_symmetry_Int_Tables_number 1
_symmetry_space_group_name_Hall 'P 1'
_cell_length_a 3.129
_cell_length_b 3.129
_cell_length_c 6.791
_cell_angle_alpha 90.00
_cell_angle_beta 90.00
_cell_angle_gamma 90.00
loop_
_atom_site_label
_atom_site_fract_x
_atom_site_fract_y
_atom_site_fract_z
Y1 0.000 0.000 0.000
Nb1 0.000 0.000 0.500
Co1 0.500 0.500 0.302
Co2 0.500 0.500 0.698
```

---

4.
Density functional theory data (PBE-GGA) for crystalline CaPmPr6Ho2 at its relaxed geometry.

Properties
As for the formation energy: 127.9 meV/atom.

Cell and atoms, written as CIF:
```
data_CaPmPr6Ho2
_symmetry_space_group_name_H-M 'P 1'
_symmetry_Int_Tables_number 1
_symmetry_space_group_name_Hall 'P 1'
_cell_length_a 9.075
_cell_length_b 9.075
_cell_length_c 9.962
_cell_angle_alpha 94.28
_cell_angle_beta 94.28
_cell_angle_gamma 118.12
loop_
_atom_site_label
_atom_site_fract_x
_atom_site_fract_y
_atom_site_fract_z
Ca1 0.098 0.902 0.750
Ca2 0.902 0.098 0.250
Pm1 0.472 0.528 0.250
Pm2 0.528 0.472 0.750
Pr1 0.005 0.793 0.379
Pr2 0.065 0.525 0.177
Pr3 0.207 0.995 0.121
Pr4 0.263 0.611 0.553
Pr5 0.389 0.737 0.947
Pr6 0.475 0.935 0.323
Pr7 0.525 0.065 0.677
Pr8 0.611 0.263 0.053
Pr9 0.737 0.389 0.447
Pr10 0.793 0.005 0.879
Pr11 0.935 0.475 0.823
Pr12 0.995 0.207 0.621
Ho1 0.204 0.302 0.954
Ho2 0.302 0.204 0.454
Ho3 0.698 0.796 0.546
Ho4 0.796 0.698 0.046
```

---

5.
Density functional theory data (PBE-GGA) for crystalline SrLi2Al at its relaxed geometry.

Properties
As for the formation energy: -40.4 meV/atom.

Cell and atoms, written as CIF:
```
data_SrLi2Al
_symmetry_space_group_name_H-M 'P 1'
_symmetry_Int_Tables_number 1
_symmetry_space_group_name_Hall 'P 1'
_cell_length_a 8.235
_cell_length_b 4.736
_cell_length_c 6.258
_cell_angle_alpha 90.00
_cell_angle_beta 115.67
_cell_angle_gamma 90.00
loop_
_atom_site_label
_atom_site_fract_x
_atom_site_fract_y
_atom_site_fract_z
Sr1 0.000 0.000 0.000
Sr2 0.500 0.500 0.000
Li1 0.189 0.000 0.570
Li2 0.488 0.000 0.467
Li3 0.689 0.500 0.570
Li4 0.988 0.500 0.467
Al1 0.298 0.500 0.394
Al2 0.798 0.000 0.394
```

---

6.
Density functional theory data (PBE-GGA) for crystalline NaHg2Pt2 at its relaxed geometry.

Properties
As for the formation energy: -76.6 meV/atom. The calculation puts the polymorph energy (0 for the lowest one) at 0.37 eV/f.u.

Cell and atoms, written as CIF:
```
data_NaHg2Pt2
_symmetry_space_group_name_H-M 'P 1'
_symmetry_Int_Tables_number 1
_symmetry_space_group_name_Hall 'P 1'
_cell_length_a 3.987
_cell_length_b 3.987
_cell_length_c 13.424
_cell_angle_alpha 90.00
_cell_angle_beta 90.00
_cell_angle_gamma 90.00
loop_
_atom_site_label
_atom_site_fract_x
_atom_site_fract_y
_atom_site_fract_z
Na1 0.000 0.000 0.000
Na2 0.500 0.500 0.500
Hg1 0.000 0.000 0.396
Hg2 0.000 0.000 0.604
Hg3 0.500 0.500 0.104
Hg4 0.500 0.500 0.896
Pt1 0.000 0.500 0.250
Pt2 0.000 0.500 0.750
Pt3 0.500 0.000 0.250
Pt4 0.500 0.000 0.750
```

---

7.
Density functional theory data (PBE-GGA) for crystalline SrSiH at its relaxed geometry.

Properties
The calculation puts the polymorph energy (0 for the lowest one) at 1.12 eV/f.u.

Cell and atoms, written as CIF:
```
data_SrSiH
_symmetry_space_group_name_H-M 'P 1'
_symmetry_Int_Tables_number 1
_symmetry_space_group_name_Hall 'P 1'
_cell_length_a 9.621
_cell_length_b 4.421
_cell_length_c 6.510
_cell_angle_alpha 90.00
_cell_angle_beta 104.70
_cell_angle_gamma 90.00
loop_
_atom_site_label
_atom_site_fract_x
_atom_site_fract_y
_atom_site_fract_z
Sr1 0.106 0.000 0.305
Sr2 0.394 0.500 0.695
Sr3 0.606 0.500 0.305
Sr4 0.894 0.000 0.695
Si1 0.226 0.000 0.893
Si2 0.274 0.500 0.107
Si3 0.726 0.500 0.893
Si4 0.774 0.000 0.107
H1 0.114 0.500 0.126
H2 0.386 0.000 0.874
H3 0.614 0.000 0.126
H4 0.886 0.500 0.874
```

---

8.
Density functional theory data (PBE-GGA) for crystalline Ba2Ge2Cl at its relaxed geometry.

Properties
Its formation energy from raw total energies is -1.00 eV per atom. The calculation puts the polymorph energy (0 for the lowest one) at 0.60 eV/f.u.

Cell and atoms, written as CIF:
```
data_Ba2Ge2Cl
_symmetry_space_group_name_H-M 'P 1'
_symmetry_Int_Tables_number 1
_symmetry_space_group_name_Hall 'P 1'
_cell_length_a 8.794
_cell_length_b 8.794
_cell_length_c 4.784
_cell_angle_alpha 90.00
_cell_angle_beta 90.00
_cell_angle_gamma 90.00
loop_
_atom_site_label
_atom_site_fract_x
_atom_site_fract_y
_atom_site_fract_z
Ba1 0.190 0.310 0.000
Ba2 0.310 0.810 0.000
Ba3 0.690 0.190 0.000
Ba4 0.810 0.690 0.000
Ge1 0.093 0.593 0.500
Ge2 0.407 0.093 0.500
Ge3 0.593 0.907 0.500
Ge4 0.907 0.407 0.500
Cl1 0.000 0.000 0.000
Cl2 0.500 0.500 0.000
```

---

9.
Density functional theory data (PBE-GGA) for crystalline Pm6NdHo2Er3 at its relaxed geometry.

Properties
As for the formation energy: 14.7 meV/atom.

Cell and atoms, written as CIF:
```
data_Pm6NdHo2Er3
_symmetry_space_group_name_H-M 'P 1'
_symmetry_Int_Tables_number 1
_symmetry_space_group_name_Hall 'P 1'
_cell_length_a 6.238
_cell_length_b 6.238
_cell_length_c 11.845
_cell_angle_alpha 95.02
_cell_angle_beta 95.02
_cell_angle_gamma 119.99
loop_
_atom_site_label
_atom_site_fract_x
_atom_site_fract_y
_atom_site_fract_z
Pm1 0.082 0.416 0.248
Pm2 0.250 0.250 0.752
Pm3 0.416 0.082 0.248
Pm4 0.584 0.918 0.752
Pm5 0.750 0.750 0.248
Pm6 0.918 0.584 0.752
Nd1 0.500 0.500 0.500
Ho1 0.167 0.833 0.500
Ho2 0.833 0.167 0.500
Er1 0.000 0.000 0.000
Er2 0.333 0.667 0.000
Er3 0.667 0.333 0.000
```

---

10.
Density functional theory data (PBE-GGA) for crystalline Pr4TmSb5 at its relaxed geometry.

Properties
Its formation energy from raw total energies is -1.15 eV per atom.

Cell and atoms, written as CIF:
```
data_Pr4TmSb5
_symmetry_space_group_name_H-M 'P 1'
_symmetry_Int_Tables_number 1
_symmetry_space_group_name_Hall 'P 1'
_cell_length_a 16.265
_cell_length_b 16.265
_cell_length_c 16.265
_cell_angle_alpha 164.03
_cell_angle_beta 164.03
_cell_angle_gamma 22.67
loop_
_atom_site_label
_atom_site_fract_x
_atom_site_fract_y
_atom_site_fract_z
Pr1 0.099 0.099 0.000
Pr2 0.301 0.301 0.000
Pr3 0.699 0.699 0.000
Pr4 0.901 0.901 0.000
Tm1 0.500 0.500 0.000
Sb1 0.000 0.000 0.000
Sb2 0.200 0.200 0.000
Sb3 0.403 0.403 0.000
Sb4 0.597 0.597 0.000
Sb5 0.800 0.800 0.000
```

---

11.
Density functional theory data (PBE-GGA) for crystalline CoAs2Au at its relaxed geometry.

Properties
As for the formation energy: 94.9 meV/atom. The calculation puts the polymorph energy (0 for the lowest one) at 0.66 eV/f.u.

Cell and atoms, written as CIF:
```
data_CoAs2Au
_symmetry_space_group_name_H-M 'P 1'
_symmetry_Int_Tables_number 1
_symmetry_space_group_name_Hall 'P 1'
_cell_length_a 2.866
_cell_length_b 4.482
_cell_length_c 10.956
_cell_angle_alpha 90.00
_cell_angle_beta 90.00
_cell_angle_gamma 90.00
loop_
_atom_site_label
_atom_site_fract_x
_atom_site_fract_y
_atom_site_fract_z
Co1 0.000 0.000 0.000
Co2 0.500 0.500 0.500
As1 0.000 0.500 0.327
As2 0.000 0.500 0.673
As3 0.500 0.000 0.173
As4 0.500 0.000 0.827
Au1 0.000 0.000 0.500
Au2 0.500 0.500 0.000
```

---

12.
Density functional theory data (PBE-GGA) for crystalline Sc2Ag2Ge at its relaxed geometry.

Properties
As for the formation energy: -241.1 meV/atom. The calculation puts the polymorph energy (0 for the lowest one) at 0.00 eV/f.u.

Cell and atoms, written as CIF:
```
data_Sc2Ag2Ge
_symmetry_space_group_name_H-M 'P 1'
_symmetry_Int_Tables_number 1
_symmetry_space_group_name_Hall 'P 1'
_cell_length_a 7.387
_cell_length_b 7.387
_cell_length_c 3.665
_cell_angle_alpha 90.00
_cell_angle_beta 90.00
_cell_angle_gamma 90.00
loop_
_atom_site_label
_atom_site_fract_x
_atom_site_fract_y
_atom_site_fract_z
Sc1 0.169 0.331 0.000
Sc2 0.331 0.831 0.000
Sc3 0.669 0.169 0.000
Sc4 0.831 0.669 0.000
Ag1 0.131 0.631 0.500
Ag2 0.369 0.131 0.500
Ag3 0.631 0.869 0.500
Ag4 0.869 0.369 0.500
Ge1 0.000 0.000 0.500
Ge2 0.500 0.500 0.500
```

---

The following total magnetic moment values (in μB per formula unit) correspond, in order, to the records above: 0.70 0.00 0.00 0.00 0.00 0.00 0.00 0.00 0.00 0.00 0.31 0.00.